# 1
{
  "formula": "CaZrNbGa2",
  "functional": "GGA-PBEsol",
  "state": "relaxed",
  "formation_enthalpy_0k_ev_per_atom": 1.296,
  "volume_a3_per_atom": 25.919,
  "cell": [[5.034, 0.000, 0.000], [0.000, 5.034, 0.000], [0.000, 0.000, 5.115]],
  "species": ["Ca", "Zr", "Nb", "Ga", "Ga"],
  "frac_coords": [[0.000, 0.000, 0.000], [0.000, 0.000, 0.500], [0.500, 0.500, 0.000], [0.000, 0.500, 0.500], [0.500, 0.000, 0.500]]
}

# 2
{
  "formula": "CaNdGaO4",
  "functional": "GGA-PBEsol",
  "state": "relaxed",
  "final_energy_ev_per_cell": -101.87,
  "volume_a3_per_atom": 12.409,
  "cell": [[2.655, -5.970, 0.000], [2.655, 5.970, 0.000], [0.000, 0.000, 5.481]],
  "species": ["Ca", "Ca", "Nd", "Nd", "Ga", "Ga", "O", "O", "O", "O", "O", "O", "O", "O"],
  "frac_coords": [[0.104, 0.896, 0.500], [0.896, 0.104, 0.000], [0.390, 0.610, 0.532], [0.610, 0.390, 0.032], [0.247, 0.753, 0.017], [0.753, 0.247, 0.517], [0.016, 0.480, 0.263], [0.081, 0.919, 0.073], [0.422, 0.578, 0.960], [0.480, 0.016, 0.763], [0.520, 0.984, 0.263], [0.578, 0.422, 0.460], [0.919, 0.081, 0.573], [0.984, 0.520, 0.763]]
}

# 3
{
  "formula": "CaGa3Ni2",
  "functional": "GGA-PBEsol",
  "state": "relaxed",
  "formation_enthalpy_0k_ev_per_atom": -0.526,
  "volume_a3_per_atom": 15.878,
  "cell": [[4.829, -3.884, 0.000], [4.829, 3.884, 0.000], [0.000, 0.000, 5.080]],
  "species": ["Ca", "Ca", "Ga", "Ga", "Ga", "Ga", "Ga", "Ga", "Ni", "Ni", "Ni", "Ni"],
  "frac_coords": [[0.156, 0.844, 0.750], [0.844, 0.156, 0.250], [0.034, 0.590, 0.250], [0.410, 0.966, 0.250], [0.450, 0.550, 0.250], [0.550, 0.450, 0.750], [0.590, 0.034, 0.750], [0.966, 0.410, 0.750], [0.290, 0.290, 0.000], [0.290, 0.290, 0.500], [0.710, 0.710, 0.000], [0.710, 0.710, 0.500]]
}

# 4
{
  "formula": "Ca2GaNi2",
  "functional": "GGA-PBEsol",
  "state": "relaxed",
  "formation_enthalpy_0k_ev_per_atom": -0.069,
  "volume_a3_per_atom": 20.188,
  "cell": [[5.372, 0.000, 0.000], [0.000, 5.372, 0.000], [0.000, 0.000, 6.996]],
  "species": ["Ca", "Ca", "Ca", "Ca", "Ga", "Ga", "Ni", "Ni", "Ni", "Ni"],
  "frac_coords": [[0.000, 0.500, 0.250], [0.000, 0.500, 0.750], [0.500, 0.000, 0.250], [0.500, 0.000, 0.750], [0.000, 0.000, 0.000], [0.500, 0.500, 0.500], [0.000, 0.000, 0.335], [0.000, 0.000, 0.665], [0.500, 0.500, 0.165], [0.500, 0.500, 0.835]]
}

# 5
{
  "formula": "CaGaO2",
  "functional": "GGA-PBEsol",
  "state": "relaxed",
  "final_energy_ev_per_cell": -71.52,
  "volume_a3_per_atom": 15.796,
  "cell": [[3.502, 0.000, 0.000], [-1.751, 3.033, 0.000], [0.000, 0.000, 17.845]],
  "species": ["Ca", "Ca", "Ca", "Ga", "Ga", "Ga", "O", "O", "O", "O", "O", "O"],
  "frac_coords": [[0.000, 0.000, 0.000], [0.333, 0.667, 0.667], [0.667, 0.333, 0.333], [0.000, 0.000, 0.500], [0.333, 0.667, 0.167], [0.667, 0.333, 0.833], [0.000, 0.000, 0.400], [0.000, 0.000, 0.600], [0.333, 0.667, 0.066], [0.333, 0.667, 0.267], [0.667, 0.333, 0.733], [0.667, 0.333, 0.934]]
}

# 6
{
  "formula": "Ca3Ga4O9",
  "functional": "GGA-PBEsol",
  "state": "relaxed",
  "final_energy_ev_per_cell": -314.91,
  "volume_a3_per_atom": 13.261,
  "cell": [[7.162, -8.383, 0.000], [7.162, 8.383, 0.000], [0.000, 0.000, 5.301]],
  "species": ["Ca", "Ca", "Ca", "Ca", "Ca", "Ca", "Ca", "Ca", "Ca", "Ga", "Ga", "Ga", "Ga", "Ga", "Ga", "Ga", "Ga", "Ga", "Ga", "Ga", "Ga", "O", "O", "O", "O", "O", "O", "O", "O", "O", "O", "O", "O", "O", "O", "O", "O", "O", "O", "O", "O", "O", "O", "O", "O", "O", "O", "O"],
  "frac_coords": [[0.000, 0.000, 0.000], [0.080, 0.661, 0.962], [0.239, 0.239, 0.951], [0.339, 0.920, 0.962], [0.402, 0.598, 0.905], [0.598, 0.402, 0.905], [0.661, 0.080, 0.962], [0.761, 0.761, 0.951], [0.920, 0.339, 0.962], [0.015, 0.203, 0.484], [0.134, 0.465, 0.435], [0.203, 0.015, 0.484], [0.262, 0.738, 0.467], [0.388, 0.388, 0.390], [0.465, 0.134, 0.435], [0.535, 0.866, 0.435], [0.612, 0.612, 0.390], [0.738, 0.262, 0.467], [0.797, 0.985, 0.484], [0.866, 0.535, 0.435], [0.985, 0.797, 0.484], [0.000, 0.500, 0.236], [0.024, 0.203, 0.147], [0.068, 0.346, 0.661], [0.102, 0.102, 0.659], [0.154, 0.846, 0.597], [0.203, 0.024, 0.147], [0.204, 0.595, 0.638], [0.245, 0.415, 0.220], [0.272, 0.728, 0.129], [0.346, 0.068, 0.661], [0.393, 0.393, 0.730], [0.405, 0.796, 0.638], [0.415, 0.245, 0.220], [0.500, 0.000, 0.236], [0.500, 0.500, 0.218], [0.585, 0.755, 0.220], [0.595, 0.204, 0.638], [0.607, 0.607, 0.730], [0.654, 0.932, 0.661], [0.728, 0.272, 0.129], [0.755, 0.585, 0.220], [0.796, 0.405, 0.638], [0.797, 0.976, 0.147], [0.846, 0.154, 0.597], [0.898, 0.898, 0.659], [0.932, 0.654, 0.661], [0.976, 0.797, 0.147]]
}

# 7
{
  "formula": "Ca3Ga2Si3O12",
  "functional": "GGA-PBEsol",
  "state": "relaxed",
  "final_energy_ev_per_cell": -596.11,
  "volume_a3_per_atom": 10.771,
  "cell": [[-5.995, 5.995, 5.995], [5.995, -5.995, 5.995], [5.995, 5.995, -5.995]],
  "species": ["Ca", "Ca", "Ca", "Ca", "Ca", "Ca", "Ca", "Ca", "Ca", "Ca", "Ca", "Ca", "Ga", "Ga", "Ga", "Ga", "Ga", "Ga", "Ga", "Ga", "Si", "Si", "Si", "Si", "Si", "Si", "Si", "Si", "Si", "Si", "Si", "Si", "O", "O", "O", "O", "O", "O", "O", "O", "O", "O", "O", "O", "O", "O", "O", "O", "O", "O", "O", "O", "O", "O", "O", "O", "O", "O", "O", "O", "O", "O", "O", "O", "O", "O", "O", "O", "O", "O", "O", "O", "O", "O", "O", "O", "O", "O", "O", "O"],
  "frac_coords": [[0.125, 0.250, 0.375], [0.125, 0.375, 0.750], [0.250, 0.375, 0.125], [0.250, 0.875, 0.625], [0.375, 0.125, 0.250], [0.375, 0.750, 0.125], [0.625, 0.250, 0.875], [0.625, 0.875, 0.750], [0.750, 0.125, 0.375], [0.750, 0.625, 0.875], [0.875, 0.625, 0.250], [0.875, 0.750, 0.625], [0.000, 0.000, 0.000], [0.000, 0.000, 0.500], [0.000, 0.500, 0.000], [0.000, 0.500, 0.500], [0.500, 0.000, 0.000], [0.500, 0.000, 0.500], [0.500, 0.500, 0.000], [0.500, 0.500, 0.500], [0.125, 0.750, 0.875], [0.125, 0.875, 0.250], [0.250, 0.125, 0.875], [0.250, 0.625, 0.375], [0.375, 0.250, 0.625], [0.375, 0.625, 0.750], [0.625, 0.375, 0.250], [0.625, 0.750, 0.375], [0.750, 0.375, 0.625], [0.750, 0.875, 0.125], [0.875, 0.125, 0.750], [0.875, 0.250, 0.125], [0.010, 0.203, 0.116], [0.010, 0.308, 0.894], [0.087, 0.703, 0.692], [0.087, 0.884, 0.394], [0.106, 0.616, 0.413], [0.106, 0.990, 0.692], [0.116, 0.010, 0.203], [0.116, 0.606, 0.913], [0.192, 0.203, 0.587], [0.192, 0.490, 0.606], [0.203, 0.116, 0.010], [0.203, 0.587, 0.192], [0.297, 0.308, 0.913], [0.297, 0.490, 0.384], [0.308, 0.894, 0.010], [0.308, 0.913, 0.297], [0.384, 0.297, 0.490], [0.384, 0.587, 0.894], [0.394, 0.087, 0.884], [0.394, 0.808, 0.510], [0.413, 0.106, 0.616], [0.413, 0.808, 0.797], [0.490, 0.384, 0.297], [0.490, 0.606, 0.192], [0.510, 0.394, 0.808], [0.510, 0.616, 0.703], [0.587, 0.192, 0.203], [0.587, 0.894, 0.384], [0.606, 0.192, 0.490], [0.606, 0.913, 0.116], [0.616, 0.413, 0.106], [0.616, 0.703, 0.510], [0.692, 0.087, 0.703], [0.692, 0.106, 0.990], [0.703, 0.510, 0.616], [0.703, 0.692, 0.087], [0.797, 0.413, 0.808], [0.797, 0.884, 0.990], [0.808, 0.510, 0.394], [0.808, 0.797, 0.413], [0.884, 0.394, 0.087], [0.884, 0.990, 0.797], [0.894, 0.010, 0.308], [0.894, 0.384, 0.587], [0.913, 0.116, 0.606], [0.913, 0.297, 0.308], [0.990, 0.692, 0.106], [0.990, 0.797, 0.884]]
}

# 8
{
  "formula": "CaYGa3O7",
  "functional": "GGA-PBEsol",
  "state": "relaxed",
  "final_energy_ev_per_cell": -170.10,
  "volume_a3_per_atom": 13.138,
  "cell": [[5.507, -5.546, 0.000], [5.507, 5.546, 0.000], [0.000, 0.000, 5.161]],
  "species": ["Ca", "Ca", "Y", "Y", "Ga", "Ga", "Ga", "Ga", "Ga", "Ga", "O", "O", "O", "O", "O", "O", "O", "O", "O", "O", "O", "O", "O", "O"],
  "frac_coords": [[0.160, 0.840, 0.000], [0.840, 0.160, 0.000], [0.341, 0.341, 0.036], [0.659, 0.659, 0.036], [0.000, 0.500, 0.519], [0.147, 0.147, 0.481], [0.356, 0.644, 0.554], [0.500, 0.000, 0.519], [0.644, 0.356, 0.554], [0.853, 0.853, 0.481], [0.000, 0.000, 0.316], [0.104, 0.348, 0.299], [0.152, 0.152, 0.829], [0.160, 0.590, 0.737], [0.348, 0.104, 0.299], [0.371, 0.629, 0.206], [0.410, 0.840, 0.737], [0.500, 0.500, 0.737], [0.590, 0.160, 0.737], [0.629, 0.371, 0.206], [0.652, 0.896, 0.299], [0.840, 0.410, 0.737], [0.848, 0.848, 0.829], [0.896, 0.652, 0.299]]
}

Number 1: magnetization 3.0 μB/f.u.. Number 2: magnetization 0.0 μB/f.u.. Number 3: magnetization 0.0 μB/f.u.. Number 4: magnetization 0.0 μB/f.u.. Number 5: magnetization 0.0 μB/f.u.. Number 6: magnetization 0.1 μB/f.u.. Number 7: magnetization 0.0 μB/f.u.. Number 8: magnetization 0.0 μB/f.u..